# KSc2Pb (GGA-PBE, optimized geometry)
data_KSc2Pb
_cell_length_a 3.434
_cell_length_b 3.434
_cell_length_c 11.593
_cell_angle_alpha 90.00
_cell_angle_beta 90.00
_cell_angle_gamma 114.78
_symmetry_space_group_name_H-M 'P 1'
_symmetry_Int_Tables_number 1
loop_
_symmetry_equiv_pos_as_xyz
'x,y,z'
loop_
_atom_site_label
_atom_site_type_symbol
_atom_site_fract_x
_atom_site_fract_y
_atom_site_fract_z
K1 K 0.000 0.000 0.000
Sc1 Sc 0.500 0.500 0.294
Sc2 Sc 0.500 0.500 0.706
Pb1 Pb 0.000 0.000 0.500
# **Symmetry**: Cmmm, No. 65
# **N(E_F)**: 1.356 states/eV/atom
# **ΔH_f (0 K)**: 0.211 eV per atom